No. 1
DFT (GGA-PBE) results for a relaxed BeSnPt2 crystal.

Properties
The space group is No. 225. The calculation puts the relative energy among the computed polymorphs at 0.00 eV/f.u. The density of states at the Fermi level is 1.73 states/eV/f.u.

Lattice parameters (Å, degrees): 4.4488 4.4488 4.4488 60.00 60.00 60.00
With the nearest neighbours (Å) after each atom.
Element x y z (fractional)
Pt1 0.7500 0.7500 0.7500  4 Sn 2.72, 4 Be 2.72
Pt2 0.2500 0.2500 0.2500  4 Sn 2.72, 4 Be 2.72
Be1 0.0000 0.0000 0.0000  8 Pt 2.72
Sn1 0.5000 0.5000 0.5000  8 Pt 2.72

=====

No. 2
DFT (GGA-PBE) results for a relaxed RbN3O crystal.

Properties
The space group is No. 221. The calculation puts the uncorrected formation energy at 2.615 eV per atom. The density of states at the Fermi level is 3.14 states/eV/f.u.

Lattice parameters (Å, degrees): 4.0418 4.0418 4.0418 90.00 90.00 90.00
With the nearest neighbours (Å) after each atom.
Element x y z (fractional)
N1 0.0000 0.0000 0.5000  2 O 2.02
N2 0.5000 0.0000 0.0000  2 O 2.02
N3 0.0000 0.5000 0.0000  2 O 2.02
Rb1 0.5000 0.5000 0.5000  12 N 2.86
O1 0.0000 0.0000 0.0000  6 N 2.02

=====

No. 3
DFT (GGA-PBE) results for a relaxed NpPb3O6 crystal.

Properties
The space group is No. 148. The calculation puts the uncorrected formation energy at -1.824 eV per atom. The calculation puts the relative energy among the computed polymorphs at 0.00 eV/f.u.

Lattice parameters (Å, degrees): 7.1818 7.1818 7.1818 93.53 93.53 93.53
With the nearest neighbours (Å) after each atom.
Element x y z (fractional)
O1 0.5905 0.7750 0.4565  1 Np 2.09
O2 0.0562 0.2834 0.9563  1 Np 2.10
O3 0.5435 0.4095 0.2250  1 Np 2.09
O4 0.2834 0.9563 0.0562  1 Np 2.10
O5 0.7750 0.4565 0.5905  1 Np 2.09
O6 0.7166 0.0437 0.9438  1 Np 2.10
O7 0.9438 0.7166 0.0437  1 Np 2.10
O8 0.0437 0.9438 0.7166  1 Np 2.10
O9 0.9563 0.0562 0.2834  1 Np 2.10
O10 0.2250 0.5435 0.4095  1 Np 2.09
O11 0.4565 0.5905 0.7750  1 Np 2.09
O12 0.4095 0.2250 0.5435  1 Np 2.09
Pb1 0.9351 0.7480 0.4447  5 O 2.40-2.64
Pb2 0.2520 0.5553 0.0649  5 O 2.40-2.64
Pb3 0.0649 0.2520 0.5553  5 O 2.40-2.64
Pb4 0.7480 0.4447 0.9351  5 O 2.40-2.64
Pb5 0.4447 0.9351 0.7480  5 O 2.40-2.64
Pb6 0.5553 0.0649 0.2520  5 O 2.40-2.64
Np1 0.0000 0.0000 0.0000  6 O 2.10
Np2 0.5000 0.5000 0.5000  6 O 2.09

=====

No. 4
DFT (GGA-PBE) results for a relaxed Zn2PH2 crystal.

Properties
The space group is No. 139. The calculation puts the calculated total energy at -12.6 eV for the cell shown. The density of states at the Fermi level is 0.84 states/eV/f.u.

Lattice parameters (Å, degrees): 3.1291 3.1291 5.9482 74.75 74.75 90.00
With the nearest neighbours (Å) after each atom.
Element x y z (fractional)
H1 0.7500 0.2500 0.5000  4 Zn 1.99, 4 H 2.21
H2 0.2500 0.7500 0.5000  4 Zn 1.99, 4 H 2.21
P1 0.0000 0.0000 0.0000  8 Zn 2.69
Zn1 0.6389 0.6389 0.7222  4 H 1.99
Zn2 0.3611 0.3611 0.2778  4 H 1.99

=====

No. 5
DFT (GGA-PBE) results for a relaxed CaCePb6 crystal.

Properties
The space group is No. 123. The calculation puts the calculated total energy at -32.8 eV for the cell shown. The density of states at the Fermi level is 8.43 states/eV/f.u.

Lattice parameters (Å, degrees): 4.9081 4.9081 9.9600 90.00 90.00 90.00
With the nearest neighbours (Å) after each atom.
Element x y z (fractional)
Pb1 0.5000 0.5000 0.5000  4 Ca 3.47, 8 Pb 3.49
Pb2 0.5000 0.0000 0.7490  8 Pb 3.47-3.50, 2 Ca 3.49, 2 Ce 3.50
Pb3 0.0000 0.5000 0.7490  8 Pb 3.47-3.50, 2 Ca 3.49, 2 Ce 3.50
Pb4 0.5000 0.5000 0.0000  4 Ce 3.47, 8 Pb 3.50
Pb5 0.0000 0.5000 0.2510  8 Pb 3.47-3.50, 2 Ca 3.49, 2 Ce 3.50
Pb6 0.5000 0.0000 0.2510  8 Pb 3.47-3.50, 2 Ca 3.49, 2 Ce 3.50
Ce1 0.0000 0.0000 0.0000  12 Pb 3.47-3.50
Ca1 0.0000 0.0000 0.5000  12 Pb 3.47-3.49

=====

No. 6
DFT (GGA-PBE) results for a relaxed SmMgIn crystal.

Properties
The space group is No. 187. The calculation puts the calculated total energy at -10.1 eV for the cell shown. The density of states at the Fermi level is 3.07 states/eV/f.u.

Lattice parameters (Å, degrees): 3.6974 4.9861 4.9861 120.00 90.00 90.00
With the nearest neighbours (Å) after each atom.
Element x y z (fractional)
Mg1 0.1662 0.6667 0.3333  3 In 2.88
Sm1 0.6665 0.3333 0.6667  6 In 3.42, 6 Mg 3.42, 2 Sm 3.70
In1 0.1673 0.0000 0.0000  3 Mg 2.88